[1]
First-principles (PBE) data for an optimized crystal structure of SmMgSi2, as listed in Alexandria via LeMat-Bulk.

Summary:
Energy relative to the elements, uncorrected ... -0.470 eV/atom
Theoretical density ... 4.68 g/cm³
N(E_F) ... 0.34 states/eV/atom
E ... -4.76 eV per atom
Magnetization ... 0.00 μB/f.u.
Calculated volume ... 82 Å³/f.u.

a = 8.024 Å, b = 3.820 Å, c = 10.687 Å
α = 90.00°, β = 90.00°, γ = 90.00°
Positions (direct):
1 Sm 0.127 0.250 0.144
2 Sm 0.373 0.750 0.644
3 Sm 0.627 0.250 0.356
4 Sm 0.873 0.750 0.856
5 Mg 0.002 0.750 0.390
6 Mg 0.498 0.250 0.890
7 Mg 0.502 0.750 0.110
8 Mg 0.998 0.250 0.610
9 Si 0.168 0.250 0.819
10 Si 0.249 0.250 0.442
11 Si 0.251 0.750 0.942
12 Si 0.332 0.750 0.319
13 Si 0.668 0.250 0.681
14 Si 0.749 0.250 0.058
15 Si 0.751 0.750 0.558
16 Si 0.832 0.750 0.181

=====

[2]
First-principles (PBE) data for an optimized crystal structure of SmMgSi2, as listed in Alexandria via LeMat-Bulk.

Summary:
Energy relative to the elements, uncorrected ... -0.239 eV/atom
Theoretical density ... 4.57 g/cm³
N(E_F) ... 0.60 states/eV/atom
E ... -4.53 eV per atom
Magnetization ... 0.00 μB/f.u.
Calculated volume ... 84 Å³/f.u.

a = 5.565 Å, b = 5.565 Å, c = 5.565 Å
α = 46.89°, β = 46.89°, γ = 46.89°
Positions (direct):
1 Sm 0.000 0.000 0.000
2 Mg 0.500 0.500 0.500
3 Si 0.217 0.217 0.217
4 Si 0.783 0.783 0.783

=====

Q: What is the formula in the second record?
A: SmMgSi2